# CsTlZn3

An optimized crystal structure of CsTlZn3 (PBE, Alexandria).

Output
Raw total energy   -1.131 eV/atom
Size of the total moment   0.0 μB per formula unit

Cell: 5.5709 5.5709 5.5709 Å, 90.00 90.00 90.00°
Atoms (fractional coordinates):
Zn (0.5000, 0.0000, 0.0000)
Zn (0.0000, 0.5000, 0.0000)
Zn (0.0000, 0.0000, 0.5000)
Tl (0.0000, 0.0000, 0.0000)
Cs (0.5000, 0.5000, 0.5000)